Entry 1:
This record from Alexandria describes crystalline KReS2 at its relaxed geometry. The functional is PBE.

Values from the calculation:
- Space group: C2/c (15)

Cell lengths 7.1266, 7.1266, 15.3539 Å; angles 82.53, 82.53, 90.09 degrees
With the nearest neighbours (Å) after each atom.
Fractional positions:
K  0.7679  0.1261  0.9156  6 S 3.02-3.37
K  0.8739  0.2321  0.5844  6 S 3.02-3.37
K  0.2321  0.8739  0.0844  6 S 3.02-3.37
K  0.1261  0.7679  0.4156  6 S 3.02-3.37
K  0.3452  0.2277  0.6065  6 S 3.08-3.37, 1 K 3.42
K  0.7723  0.6548  0.8935  6 S 3.08-3.37, 1 K 3.42
K  0.6548  0.7723  0.3935  6 S 3.08-3.37, 1 K 3.42
K  0.2277  0.3452  0.1065  6 S 3.08-3.37, 1 K 3.42
Re  0.1414  0.7016  0.6887  3 S 2.30-2.35
Re  0.2984  0.8586  0.8113  3 S 2.30-2.35
Re  0.8586  0.2984  0.3113  3 S 2.30-2.35
Re  0.7016  0.1414  0.1887  3 S 2.30-2.35
Re  0.5224  0.7015  0.6892  3 S 2.30-2.34
Re  0.2985  0.4776  0.8108  3 S 2.30-2.34
Re  0.4776  0.2985  0.3108  3 S 2.30-2.34
Re  0.7015  0.5224  0.1892  3 S 2.30-2.34
S  0.2988  0.6307  0.9363  2 Re 2.34-2.35
S  0.3693  0.7012  0.5637  2 Re 2.34-2.35
S  0.7012  0.3693  0.0637  2 Re 2.34-2.35
S  0.6307  0.2988  0.4363  2 Re 2.34-2.35
S  0.9693  0.5966  0.2472  2 Re 2.30-2.31
S  0.4034  0.0307  0.2528  2 Re 2.30-2.31
S  0.0307  0.4034  0.7528  2 Re 2.30-2.31
S  0.5966  0.9693  0.7472  2 Re 2.30-2.31
S  0.8555  0.7264  0.6001  2 Re 2.57-2.59
S  0.2736  0.1445  0.8999  2 Re 2.57-2.59
S  0.1445  0.2736  0.3999  2 Re 2.57-2.59
S  0.7264  0.8555  0.1001  2 Re 2.57-2.59
S  0.9663  0.0337  0.2500  2 Re 2.30
S  0.0337  0.9663  0.7500  2 Re 2.30
S  0.4027  0.5973  0.2500  2 Re 2.30
S  0.5973  0.4027  0.7500  2 Re 2.30


Entry 2:
This record from Alexandria describes crystalline KRe3S at its relaxed geometry. The functional is PBE.

Values from the calculation:
- Space group: Pm-3m (221)

Cell lengths 4.5907, 4.5907, 4.5907 Å; angles 90.00, 90.00, 90.00 degrees
With the nearest neighbours (Å) after each atom.
Fractional positions:
Re  0.0000  0.5000  0.0000  2 K 2.30
Re  0.0000  0.0000  0.5000  2 K 2.30
Re  0.5000  0.0000  0.0000  2 K 2.30
K  0.0000  0.0000  0.0000  6 Re 2.30
S  0.5000  0.5000  0.5000  12 Re 3.25


Entry 3:
This record from Alexandria describes crystalline K3ReS4 at its relaxed geometry. The functional is PBE.

Values from the calculation:
- Space group: Imm2 (44)

Cell lengths 7.1722, 7.1722, 7.1722 Å; angles 92.22, 115.93, 121.59 degrees
With the nearest neighbours (Å) after each atom.
Fractional positions:
K  0.5660  0.2409  0.8069  3 S 3.12-3.44
K  0.0123  0.0000  0.0123  4 S 2.99-3.31
K  0.5660  0.7591  0.3251  3 S 3.12-3.44
Re  0.0066  0.5000  0.5066  4 S 2.21-2.24
S  0.1663  0.6888  0.8551  1 Re 2.24
S  0.1663  0.3112  0.4774  1 Re 2.24
S  0.5803  0.2466  0.3337  1 Re 2.21
S  0.0872  0.7534  0.3337  1 Re 2.21


Entry 4:
This record from Alexandria describes crystalline K2ReSeS at its relaxed geometry. The functional is PBE.

Values from the calculation:
- Space group: P4/mmm (123)

Cell lengths 6.5532, 4.5912, 6.5532 Å; angles 90.00, 90.00, 90.00 degrees
With the nearest neighbours (Å) after each atom.
Fractional positions:
Re  0.0000  0.0000  0.0000  2 Se 2.30
K  0.0000  0.0000  0.5000  2 Re 3.28
K  0.5000  0.0000  0.0000  2 Re 3.28
S  0.5000  0.5000  0.5000  8 K 4.00
Se  0.0000  0.5000  0.0000  2 Re 2.30


Entry 5:
This record from Alexandria describes crystalline K3Sm3ReS8 at its relaxed geometry. The functional is PBE.

Values from the calculation:
- Space group: R-3m (166)

Cell lengths 7.9980, 7.9982, 8.8317 Å; angles 116.93, 90.00, 120.00 degrees
With the nearest neighbours (Å) after each atom.
Fractional positions:
K  0.0000  0.0000  0.0000  6 S 3.19-3.21
K  0.0000  0.5000  0.0000  6 S 3.19-3.21
K  0.5000  0.5000  0.0000  6 S 3.19-3.21
Sm  0.5000  0.0000  0.5000  6 S 2.78-2.82
Sm  0.5000  0.5000  0.5000  6 S 2.78-2.82
Sm  0.0000  0.5000  0.5000  6 S 2.78-2.82
Re  0.0000  0.0000  0.5000  6 S 2.50
S  0.2644  0.5288  0.2933  3 Sm 2.78
S  0.7356  0.4712  0.7067  3 Sm 2.78
S  0.7884  0.5769  0.3116  1 Re 2.50
S  0.2116  0.4231  0.6884  1 Re 2.50
S  0.7885  0.0231  0.3116  1 Re 2.50
S  0.2115  0.9769  0.6884  1 Re 2.50
S  0.2346  0.0231  0.3116  1 Re 2.50
S  0.7654  0.9769  0.6884  1 Re 2.50


Entry 6:
This record from Alexandria describes crystalline KSr2ReS at its relaxed geometry. The functional is PBE.

Values from the calculation:
- Space group: P4/mmm (123)

Cell lengths 6.2440, 4.5302, 6.2440 Å; angles 90.00, 90.00, 90.00 degrees
With the nearest neighbours (Å) after each atom.
Fractional positions:
Re  0.0000  0.0000  0.0000  2 S 2.27
K  0.5000  0.5000  0.5000  8 Sr 3.86
S  0.0000  0.5000  0.0000  2 Re 2.27
Sr  0.0000  0.0000  0.5000  2 Re 3.12
Sr  0.5000  0.0000  0.0000  2 Re 3.12


Entry 7:
This record from Alexandria describes crystalline KTl2ReS4 at its relaxed geometry. The functional is PBE.

Values from the calculation:
- Space group: I-4 (82)

Cell lengths 6.9450, 6.9450, 6.9450 Å; angles 110.40, 109.01, 109.01 degrees
With the nearest neighbours (Å) after each atom.
Fractional positions:
K  0.5000  0.2500  0.7500  4 S 3.15
Tl  0.5000  0.7500  0.2500  4 S 3.08
Tl  0.0000  0.0000  0.0000  4 S 3.22
Re  0.0000  0.5000  0.5000  4 S 2.22
S  0.6837  0.5092  0.5021  1 Re 2.22
S  0.9929  0.1745  0.4908  1 Re 2.22
S  0.0071  0.4979  0.1816  1 Re 2.22
S  0.3163  0.8184  0.8255  1 Re 2.22


Entry 8:
This record from Alexandria describes crystalline KTlRe2S at its relaxed geometry. The functional is PBE.

Values from the calculation:
- Space group: P4/mmm (123)

Cell lengths 5.3220, 5.7147, 5.3220 Å; angles 90.00, 90.00, 90.00 degrees
With the nearest neighbours (Å) after each atom.
Fractional positions:
S  0.0000  0.5000  0.0000  2 Tl 2.86
Re  0.0000  0.0000  0.5000  2 Tl 2.66
Re  0.5000  0.0000  0.0000  2 Tl 2.66
Tl  0.0000  0.0000  0.0000  4 Re 2.66, 2 S 2.86
K  0.5000  0.5000  0.5000  4 S 3.76, 8 Re 3.90


| no. | E_form (uncorrected) (kJ/mol of formula units) |
| --- | --- |
| 1 | -216 |
| 2 | 2055 |
| 3 | -574 |
| 4 | 249 |
| 5 | -2113 |
| 6 | 105 |
| 7 | -332 |
| 8 | 1041 |